The following is a GGA-PBE calculation of crystalline SrGeS2N at its relaxed geometry, from the Alexandria database.

Lattice parameters (Å, degrees): 5.5512 5.5512 4.7292 90.00 90.00 90.00
Each line ends with the local moment (μB).
Atoms (fractional coordinates):
S 0.5000 0.0000 0.0000  0.25
S 0.0000 0.5000 0.0000  0.25
Ge 0.5000 0.5000 0.5000  -0.07
Sr 0.0000 0.0000 0.0000  0.04
N 0.0000 0.0000 0.5000  1.48

Values from the calculation:
- ΔE_f (raw) (eV per atom) = 0.891
- ρ (Mg/m³) = 2.716
- total DFT energy (no corrections) (eV for the cell shown) = -18.42
- spin magnetization (μB per atom) = 0.584

---

The following is a GGA-PBE calculation of crystalline ScInMo2 at its relaxed geometry, from the Alexandria database.

Lattice parameters (Å, degrees): 5.4920 5.4920 2.8536 80.77 80.77 117.47
Atoms (fractional coordinates):
Sc 0.5000 0.0000 0.5000
In 0.0000 0.5000 0.5000
Mo 0.0000 0.0000 0.0000
Mo 0.5000 0.5000 0.0000

Values from the calculation:
- energy relative to the elements (eV/atom) = 0.21
- ρ (Mg/m³) = 8.040
- total DFT energy (no corrections) (eV for the cell shown) = -29.91
- spin magnetization (μB per atom) = 0.000

---

The following is a GGA-PBE calculation of crystalline Sm3Dy6Ho2Tm at its relaxed geometry, from the Alexandria database.

Lattice parameters (Å, degrees): 6.1558 6.1558 11.7783 94.98 94.98 119.97
Atoms (fractional coordinates):
Sm 0.1666 0.8334 0.5000
Sm 0.5000 0.5000 0.5000
Sm 0.8334 0.1666 0.5000
Ho 0.6667 0.3333 0.0000
Ho 0.3333 0.6667 0.0000
Dy 0.7495 0.7495 0.2468
Dy 0.4156 0.0826 0.2468
Dy 0.9174 0.5844 0.7532
Dy 0.2505 0.2505 0.7532
Dy 0.0826 0.4156 0.2468
Dy 0.5844 0.9174 0.7532
Tm 0.0000 0.0000 0.0000

Values from the calculation:
- energy relative to the elements (eV/atom) = 0.02
- ρ (Mg/m³) = 8.394
- total DFT energy (no corrections) (eV for the cell shown) = -55.19
- spin magnetization (μB per atom) = 0.000

---

The following is a GGA-PBE calculation of crystalline YSn2P at its relaxed geometry, from the Alexandria database.

Lattice parameters (Å, degrees): 8.4988 8.4988 6.6491 50.28 50.28 90.00
Atoms (fractional coordinates):
Sn 0.5711 0.1250 0.2500
Sn 0.8750 0.8211 0.7500
Sn 0.3750 0.4289 0.7500
Sn 0.1789 0.6250 0.2500
Y 0.0000 0.0000 0.0000
Y 0.7500 0.2500 0.5000
P 0.2500 0.7500 0.5000
P 0.5000 0.5000 0.0000

Values from the calculation:
- energy relative to the elements (eV/atom) = -0.25
- ρ (Mg/m³) = 5.774
- total DFT energy (no corrections) (eV for the cell shown) = -41.75
- spin magnetization (μB per atom) = 0.002

---

The following is a GGA-PBE calculation of crystalline NdAl2Ag at its relaxed geometry, from the Alexandria database.

Lattice parameters (Å, degrees): 4.4230 4.2661 9.6317 102.79 90.00 90.00
Atoms (fractional coordinates):
Al 0.2500 0.5343 0.0686
Al 0.7500 0.7489 0.4978
Al 0.2500 0.2511 0.5022
Al 0.7500 0.4657 0.9314
Nd 0.7500 0.1045 0.2090
Nd 0.2500 0.8955 0.7910
Ag 0.7500 0.3295 0.6589
Ag 0.2500 0.6705 0.3411

Values from the calculation:
- energy relative to the elements (eV/atom) = -0.38
- ρ (Mg/m³) = 5.735
- total DFT energy (no corrections) (eV for the cell shown) = -33.24
- spin magnetization (μB per atom) = 0.000

---

The following is a GGA-PBE calculation of crystalline ZrVOs3 at its relaxed geometry, from the Alexandria database.

Lattice parameters (Å, degrees): 4.4881 4.4881 4.4881 90.00 90.00 90.00
Atoms (fractional coordinates):
Os 0.5000 0.0000 0.0000
Os 0.0000 0.0000 0.5000
Os 0.0000 0.5000 0.0000
V 0.0000 0.0000 0.0000
Zr 0.5000 0.5000 0.5000

Values from the calculation:
- energy relative to the elements (eV/atom) = 0.90
- ρ (Mg/m³) = 13.094
- total DFT energy (no corrections) (eV for the cell shown) = -46.84
- spin magnetization (μB per atom) = 0.000

---

The following is a GGA-PBE calculation of crystalline SrBiPb2S4 at its relaxed geometry, from the Alexandria database.

Lattice parameters (Å, degrees): 6.0346 6.0346 7.3173 114.35 114.35 90.00
Atoms (fractional coordinates):
Pb 0.0000 0.0000 0.0000
Pb 0.2500 0.7500 0.5000
S 0.5068 0.0068 0.0137
S 0.9932 0.4932 0.9863
S 0.7508 0.7508 0.5016
S 0.2492 0.2492 0.4984
Bi 0.7500 0.2500 0.5000
Sr 0.5000 0.5000 0.0000

Values from the calculation:
- ΔE_f (raw) (eV per atom) = -0.818
- ρ (Mg/m³) = 6.438
- total DFT energy (no corrections) (eV for the cell shown) = -36.03
- spin magnetization (μB per atom) = 0.000

---

The following is a GGA-PBE calculation of crystalline TbScPb2 at its relaxed geometry, from the Alexandria database.

Lattice parameters (Å, degrees): 3.4661 3.4661 8.8110 90.00 90.00 90.00
Each line ends with the local moment (μB).
Atoms (fractional coordinates):
Pb 0.0000 0.0000 0.7618  -0.01
Pb 0.0000 0.0000 0.2382  -0.01
Sc 0.5000 0.5000 0.0000  0.32
Tb 0.5000 0.5000 0.5000  0.01

Values from the calculation:
- energy relative to the elements (eV/atom) = -0.38
- ρ (Mg/m³) = 9.699
- total DFT energy (no corrections) (eV for the cell shown) = -19.89
- spin magnetization (μB per atom) = 0.120